VASP calculation (PBE) on Nd2AsS5 after structural relaxation.

Cell lengths 6.996, 6.996, 5.600 Å; angles 115.16, 115.16, 96.84 degrees
Fractional positions:
1 Nd 0.293 0.754 0.472
2 Nd 0.754 0.293 0.472
3 As 0.968 0.968 0.924
4 S 0.684 0.173 0.870
5 S 0.309 0.309 0.199
6 S 0.940 0.940 0.299
7 S 0.173 0.684 0.870
8 S 0.655 0.655 0.448

Computed properties:
Space-group type ... Cm
N(E_F) ... 1.190 states/eV/f.u.
Raw formation energy ... -9.15 eV/f.u.


VASP calculation (PBE) on Nd6Sb3AsS2 after structural relaxation.

Cell lengths 7.509, 7.509, 7.528 Å; angles 99.55, 99.55, 120.03 degrees
Fractional positions:
1 Nd 0.923 0.589 0.767
2 Nd 0.742 0.742 0.230
3 Nd 0.077 0.411 0.233
4 Nd 0.589 0.923 0.767
5 Nd 0.258 0.258 0.770
6 Nd 0.411 0.077 0.233
7 Sb 0.166 0.834 0.500
8 Sb 0.834 0.166 0.500
9 Sb 0.500 0.500 0.500
10 As 0.000 0.000 0.000
11 S 0.333 0.667 0.000
12 S 0.667 0.333 0.000

Computed properties:
Space-group type ... C2/m
N(E_F) ... 2.586 states/eV/f.u.
Raw formation energy ... -18.05 eV/f.u.


VASP calculation (PBE) on Nd4SbAsS2 after structural relaxation.

Cell lengths 4.250, 7.308, 7.390 Å; angles 70.37, 90.00, 90.00 degrees
Fractional positions:
1 Nd 0.000 0.766 0.734
2 Nd 0.000 0.234 0.266
3 Nd 0.500 0.758 0.257
4 Nd 0.500 0.242 0.743
5 Sb 0.500 0.500 0.000
6 As 0.000 0.500 0.500
7 S 0.000 0.000 0.000
8 S 0.500 0.000 0.500

Computed properties:
Space-group type ... P2/m
N(E_F) ... 3.301 states/eV/f.u.
Raw formation energy ... -13.35 eV/f.u.


VASP calculation (PBE) on Nd4SbAs2S after structural relaxation.

Cell lengths 4.296, 7.450, 7.435 Å; angles 70.63, 90.00, 90.00 degrees
Fractional positions:
1 Nd 0.000 0.760 0.739
2 Nd 0.000 0.240 0.261
3 Nd 0.500 0.757 0.254
4 Nd 0.500 0.243 0.746
5 Sb 0.500 0.500 0.000
6 As 0.000 0.000 0.000
7 As 0.500 0.000 0.500
8 S 0.000 0.500 0.500

Computed properties:
Space-group type ... P2/m
N(E_F) ... 1.556 states/eV/f.u.
Raw formation energy ... -12.44 eV/f.u.


VASP calculation (PBE) on Nd6Sb3As2S after structural relaxation.

Cell lengths 4.361, 8.764, 9.780 Å; angles 103.32, 102.88, 90.00 degrees
Fractional positions:
1 Nd 0.337 0.908 0.675
2 Nd 0.670 0.574 0.341
3 Nd 0.663 0.092 0.325
4 Nd 0.003 0.241 0.007
5 Nd 0.997 0.759 0.993
6 Nd 0.330 0.426 0.659
7 Sb 0.500 0.500 0.000
8 Sb 0.833 0.166 0.667
9 Sb 0.167 0.834 0.333
10 As 0.834 0.668 0.668
11 As 0.166 0.332 0.332
12 S 0.500 0.000 0.000

Computed properties:
Space-group type ... C2/m
N(E_F) ... 2.213 states/eV/f.u.
Raw formation energy ... -17.11 eV/f.u.


VASP calculation (PBE) on Nd6As2Se3S after structural relaxation.

Cell lengths 4.209, 8.473, 9.474 Å; angles 103.59, 102.83, 90.00 degrees
Fractional positions:
1 Nd 0.338 0.913 0.677
2 Nd 0.669 0.577 0.338
3 Nd 0.662 0.087 0.323
4 Nd 0.002 0.237 0.004
5 Nd 0.998 0.763 0.996
6 Nd 0.331 0.423 0.662
7 As 0.834 0.668 0.668
8 As 0.166 0.332 0.332
9 Se 0.500 0.500 0.000
10 Se 0.832 0.166 0.664
11 Se 0.168 0.834 0.336
12 S 0.500 0.000 0.000

Computed properties:
Space-group type ... C2/m
N(E_F) ... 4.760 states/eV/f.u.
Raw formation energy ... -21.63 eV/f.u.


VASP calculation (PBE) on Nd3AsSeS after structural relaxation.

Cell lengths 4.227, 8.451, 12.378 Å; angles 110.52, 90.00, 90.00 degrees
Fractional positions:
1 Nd 0.250 0.843 0.378
2 Nd 0.750 0.935 0.129
3 Nd 0.750 0.434 0.121
4 Nd 0.750 0.157 0.622
5 Nd 0.250 0.566 0.879
6 Nd 0.250 0.065 0.871
7 As 0.250 0.686 0.128
8 As 0.750 0.314 0.872
9 Se 0.750 0.807 0.864
10 Se 0.250 0.193 0.136
11 S 0.250 0.946 0.621
12 S 0.750 0.054 0.379

Computed properties:
Space-group type ... P2_1/m
N(E_F) ... 3.649 states/eV/f.u.
Raw formation energy ... -9.26 eV/f.u.


VASP calculation (PBE) on Nd6As3Se2S after structural relaxation.

Cell lengths 4.233, 8.460, 9.470 Å; angles 103.00, 102.92, 90.00 degrees
Fractional positions:
1 Nd 0.334 0.924 0.669
2 Nd 0.664 0.589 0.328
3 Nd 0.666 0.076 0.331
4 Nd 0.997 0.248 0.995
5 Nd 0.003 0.752 0.005
6 Nd 0.336 0.411 0.672
7 As 0.500 0.500 0.000
8 As 0.832 0.166 0.665
9 As 0.168 0.834 0.335
10 Se 0.834 0.667 0.667
11 Se 0.166 0.333 0.333
12 S 0.500 0.000 0.000

Computed properties:
Space-group type ... C2/m
N(E_F) ... 4.424 states/eV/f.u.
Raw formation energy ... -21.03 eV/f.u.


VASP calculation (PBE) on Nd8As4Se3S after structural relaxation.

Cell lengths 8.472, 8.484, 8.472 Å; angles 119.95, 120.00, 90.00 degrees
Fractional positions:
1 Nd 0.250 0.757 0.007
2 Nd 0.250 0.757 0.500
3 Nd 0.247 0.240 0.493
4 Nd 0.757 0.757 0.007
5 Nd 0.243 0.243 0.993
6 Nd 0.753 0.760 0.507
7 Nd 0.750 0.243 0.500
8 Nd 0.750 0.243 0.993
9 As 0.500 0.000 0.000
10 As 0.500 0.000 0.500
11 As 0.000 0.000 0.000
12 As 0.000 0.000 0.500
13 Se 0.500 0.500 0.000
14 Se 0.500 0.500 0.500
15 Se 0.000 0.500 0.500
16 S 0.000 0.500 0.000

Computed properties:
Space-group type ... R-3m
N(E_F) ... 6.084 states/eV/f.u.
Raw formation energy ... -27.95 eV/f.u.


VASP calculation (PBE) on Nd8As4SeS3 after structural relaxation.

Cell lengths 8.412, 8.382, 8.412 Å; angles 120.12, 120.00, 90.00 degrees
Fractional positions:
1 Nd 0.253 0.752 0.999
2 Nd 0.253 0.752 0.506
3 Nd 0.250 0.251 0.501
4 Nd 0.746 0.752 0.999
5 Nd 0.254 0.248 0.001
6 Nd 0.750 0.749 0.499
7 Nd 0.747 0.248 0.494
8 Nd 0.747 0.248 0.001
9 As 0.500 0.000 0.000
10 As 0.500 0.000 0.500
11 As 0.000 0.000 0.000
12 As 0.000 0.000 0.500
13 Se 0.000 0.500 0.000
14 S 0.500 0.500 0.000
15 S 0.500 0.500 0.500
16 S 0.000 0.500 0.500

Computed properties:
Space-group type ... R-3m
N(E_F) ... 5.938 states/eV/f.u.
Raw formation energy ... -28.44 eV/f.u.


VASP calculation (PBE) on Nd4As2SeS after structural relaxation.

Cell lengths 8.439, 8.439, 8.422 Å; angles 119.94, 119.94, 90.00 degrees
Fractional positions:
1 Nd 0.256 0.757 0.006
2 Nd 0.743 0.244 0.494
3 Nd 0.257 0.756 0.506
4 Nd 0.744 0.243 0.994
5 Nd 0.747 0.753 0.000
6 Nd 0.747 0.753 0.500
7 Nd 0.253 0.247 0.500
8 Nd 0.253 0.247 0.000
9 As 0.500 0.000 0.000
10 As 0.500 0.000 0.500
11 As 0.000 0.000 0.500
12 As 0.500 0.500 0.000
13 Se 0.000 0.500 0.000
14 Se 0.000 0.500 0.500
15 S 0.500 0.500 0.500
16 S 0.000 0.000 0.000

Computed properties:
Space-group type ... Imma
N(E_F) ... 3.005 states/eV/f.u.
Raw formation energy ... -14.09 eV/f.u.


VASP calculation (PBE) on Nd8AsSe3S4 after structural relaxation.

Cell lengths 8.303, 8.339, 8.303 Å; angles 119.86, 120.00, 90.00 degrees
Fractional positions:
1 Nd 0.251 0.767 0.015
2 Nd 0.251 0.767 0.503
3 Nd 0.242 0.226 0.484
4 Nd 0.764 0.767 0.015
5 Nd 0.236 0.233 0.985
6 Nd 0.758 0.774 0.516
7 Nd 0.749 0.233 0.497
8 Nd 0.749 0.233 0.985
9 As 0.000 0.500 0.000
10 Se 0.500 0.500 0.000
11 Se 0.500 0.500 0.500
12 Se 0.000 0.500 0.500
13 S 0.500 0.000 0.000
14 S 0.500 0.000 0.500
15 S 0.000 0.000 0.000
16 S 0.000 0.000 0.500

Computed properties:
Space-group type ... R-3m
N(E_F) ... 5.794 states/eV/f.u.
Raw formation energy ... -30.53 eV/f.u.


VASP calculation (PBE) on Nd8As3Se4S after structural relaxation.

Cell lengths 8.438, 8.493, 8.438 Å; angles 119.79, 120.00, 90.00 degrees
Fractional positions:
1 Nd 0.245 0.737 0.992
2 Nd 0.245 0.737 0.489
3 Nd 0.253 0.260 0.507
4 Nd 0.748 0.737 0.992
5 Nd 0.252 0.263 0.008
6 Nd 0.747 0.740 0.493
7 Nd 0.755 0.263 0.511
8 Nd 0.755 0.263 0.008
9 As 0.500 0.500 0.000
10 As 0.500 0.500 0.500
11 As 0.000 0.500 0.500
12 Se 0.500 0.000 0.000
13 Se 0.500 0.000 0.500
14 Se 0.000 0.000 0.000
15 Se 0.000 0.000 0.500
16 S 0.000 0.500 0.000

Computed properties:
Space-group type ... R-3m
N(E_F) ... 6.446 states/eV/f.u.
Raw formation energy ... -28.57 eV/f.u.


VASP calculation (PBE) on Nd4SiAs2S after structural relaxation.

Cell lengths 4.218, 7.326, 7.334 Å; angles 70.60, 90.00, 90.00 degrees
Fractional positions:
1 Nd 0.000 0.749 0.748
2 Nd 0.000 0.251 0.252
3 Nd 0.500 0.748 0.250
4 Nd 0.500 0.252 0.750
5 Si 0.000 0.500 0.500
6 As 0.000 0.000 0.000
7 As 0.500 0.000 0.500
8 S 0.500 0.500 0.000

Computed properties:
Space-group type ... P2/m
N(E_F) ... 1.273 states/eV/f.u.
Raw formation energy ... -11.50 eV/f.u.


VASP calculation (PBE) on Nd6SiAs2S3 after structural relaxation.

Cell lengths 4.194, 8.351, 9.351 Å; angles 102.59, 102.96, 90.00 degrees
Fractional positions:
1 Nd 0.335 0.920 0.670
2 Nd 0.666 0.584 0.332
3 Nd 0.665 0.080 0.330
4 Nd 0.999 0.247 0.999
5 Nd 0.001 0.753 0.001
6 Nd 0.334 0.416 0.668
7 Si 0.500 0.000 0.000
8 As 0.833 0.666 0.666
9 As 0.167 0.334 0.334
10 S 0.500 0.500 0.000
11 S 0.832 0.168 0.665
12 S 0.168 0.832 0.335

Computed properties:
Space-group type ... C2/m
N(E_F) ... 3.695 states/eV/f.u.
Raw formation energy ... -19.92 eV/f.u.


VASP calculation (PBE) on Nd6Si2AsS3 after structural relaxation.

Cell lengths 4.192, 8.378, 9.357 Å; angles 102.65, 102.94, 90.00 degrees
Fractional positions:
1 Nd 0.333 0.914 0.665
2 Nd 0.667 0.583 0.334
3 Nd 0.667 0.086 0.335
4 Nd 0.002 0.252 0.003
5 Nd 0.998 0.748 0.997
6 Nd 0.333 0.417 0.666
7 Si 0.833 0.667 0.667
8 Si 0.167 0.333 0.333
9 As 0.500 0.000 0.000
10 S 0.500 0.500 0.000
11 S 0.834 0.166 0.669
12 S 0.166 0.834 0.331

Computed properties:
Space-group type ... C2/m
N(E_F) ... 2.358 states/eV/f.u.
Raw formation energy ... -18.15 eV/f.u.


VASP calculation (PBE) on Nd6SnAs2S3 after structural relaxation.

Cell lengths 4.226, 8.450, 9.442 Å; angles 102.49, 102.93, 90.00 degrees
Fractional positions:
1 Nd 0.328 0.914 0.657
2 Nd 0.667 0.583 0.335
3 Nd 0.672 0.086 0.343
4 Nd 0.000 0.264 0.000
5 Nd 0.000 0.736 0.000
6 Nd 0.333 0.417 0.665
7 Sn 0.500 0.000 0.000
8 As 0.833 0.666 0.665
9 As 0.167 0.334 0.335
10 S 0.500 0.500 0.000
11 S 0.834 0.169 0.667
12 S 0.166 0.831 0.333

Computed properties:
Space-group type ... C2/m
N(E_F) ... 4.461 states/eV/f.u.
Raw formation energy ... -19.53 eV/f.u.


VASP calculation (PBE) on TbNdAsS after structural relaxation.

Cell lengths 4.032, 4.032, 7.476 Å; angles 90.01, 105.63, 120.00 degrees
Fractional positions:
1 Tb 0.309 0.552 0.877
2 Nd 0.963 0.379 0.357
3 As 0.128 0.962 0.105
4 S 0.479 0.137 0.631

Computed properties:
Space-group type ... R3m
N(E_F) ... 2.762 states/eV/f.u.
Raw formation energy ... -6.79 eV/f.u.


VASP calculation (PBE) on Nd6Te3AsS2 after structural relaxation.

Cell lengths 7.379, 7.379, 7.676 Å; angles 99.25, 99.25, 119.98 degrees
Fractional positions:
1 Nd 0.929 0.591 0.788
2 Nd 0.732 0.732 0.210
3 Nd 0.071 0.409 0.212
4 Nd 0.591 0.929 0.788
5 Nd 0.268 0.268 0.790
6 Nd 0.409 0.071 0.212
7 Te 0.164 0.836 0.500
8 Te 0.836 0.164 0.500
9 Te 0.500 0.500 0.500
10 As 0.000 0.000 0.000
11 S 0.333 0.667 0.000
12 S 0.667 0.333 0.000

Computed properties:
Space-group type ... C2/m
N(E_F) ... 4.459 states/eV/f.u.
Raw formation energy ... -20.08 eV/f.u.


VASP calculation (PBE) on Nd8Te4AsS3 after structural relaxation.

Cell lengths 8.517, 8.747, 8.517 Å; angles 119.14, 120.00, 90.00 degrees
Fractional positions:
1 Nd 0.239 0.711 0.972
2 Nd 0.239 0.711 0.478
3 Nd 0.264 0.293 0.529
4 Nd 0.733 0.711 0.972
5 Nd 0.267 0.289 0.028
6 Nd 0.736 0.707 0.471
7 Nd 0.761 0.289 0.522
8 Nd 0.761 0.289 0.028
9 Te 0.500 0.000 0.000
10 Te 0.500 0.000 0.500
11 Te 0.000 0.000 0.000
12 Te 0.000 0.000 0.500
13 As 0.000 0.500 0.000
14 S 0.500 0.500 0.000
15 S 0.500 0.500 0.500
16 S 0.000 0.500 0.500

Computed properties:
Space-group type ... R-3m
N(E_F) ... 4.653 states/eV/f.u.
Raw formation energy ... -27.03 eV/f.u.